Entry 1:
A plane-wave DFT calculation with PBE was carried out for a geometry-optimized MnBi2Se4 structure.

Lattice parameters (Å, degrees): 8.362 8.362 8.362 120.02 119.94 90.03
Sites, in units of the cell vectors:
Mn 0.375 0.125 0.250
Mn 0.625 0.875 0.750
Bi 0.000 0.000 0.500
Bi 0.000 0.500 0.000
Bi 0.000 0.500 0.500
Bi 0.500 0.500 0.000
Se 0.250 0.250 0.000
Se 0.250 0.250 0.500
Se 0.250 0.751 0.000
Se 0.251 0.750 0.500
Se 0.749 0.250 0.500
Se 0.750 0.249 0.000
Se 0.750 0.750 0.000
Se 0.750 0.750 0.500

Summary:
The space group is No. 74. For the formation energy without anion corrections, the calculation gives -0.37 eV per atom. The energy above the most stable polymorph in this dataset comes out at 22.7 meV per atom.

=====

Entry 2:
A plane-wave DFT calculation with PBE was carried out for a geometry-optimized Mn4BiSe8 structure.

Lattice parameters (Å, degrees): 8.178 8.178 8.178 53.30 53.30 53.30
Sites, in units of the cell vectors:
Mn 0.000 0.000 0.000
Mn 0.000 0.500 0.500
Mn 0.500 0.000 0.500
Mn 0.500 0.500 0.000
Bi 0.500 0.500 0.500
Se 0.235 0.235 0.734
Se 0.235 0.734 0.235
Se 0.266 0.765 0.765
Se 0.268 0.268 0.268
Se 0.732 0.732 0.732
Se 0.734 0.235 0.235
Se 0.765 0.266 0.765
Se 0.765 0.765 0.266

Summary:
The space group is No. 166. For the formation energy without anion corrections, the calculation gives -0.40 eV per atom. The value obtained for the density of states at the Fermi level is 0.41 states/eV per atom.

=====

Entry 3:
A plane-wave DFT calculation with PBE was carried out for a geometry-optimized MnBi3Se structure.

Lattice parameters (Å, degrees): 5.499 5.499 5.499 90.00 90.00 90.00
Sites, in units of the cell vectors:
Mn 0.000 0.000 0.000
Bi 0.000 0.500 0.500
Bi 0.500 0.000 0.500
Bi 0.500 0.500 0.000
Se 0.500 0.500 0.500

Summary:
The space group is No. 221. For the formation energy without anion corrections, the calculation gives 1.32 eV per atom. The value obtained for the density of states at the Fermi level is 1.54 states/eV per atom. The energy above the most stable polymorph in this dataset comes out at 974.0 meV per atom.

=====

Entry 4:
A plane-wave DFT calculation with PBE was carried out for a geometry-optimized MnBi3Se structure.

Lattice parameters (Å, degrees): 5.154 5.154 5.154 90.00 90.00 90.00
Sites, in units of the cell vectors:
Mn 0.000 0.000 0.000
Bi 0.000 0.000 0.500
Bi 0.000 0.500 0.000
Bi 0.500 0.000 0.000
Se 0.500 0.500 0.500

Summary:
The space group is No. 221. For the formation energy without anion corrections, the calculation gives 0.35 eV per atom. The value obtained for the density of states at the Fermi level is 0.56 states/eV per atom. The energy above the most stable polymorph in this dataset comes out at 0.0 meV per atom.

=====

Entry 5:
A plane-wave DFT calculation with PBE was carried out for a geometry-optimized SrMnBiSe4 structure.

Lattice parameters (Å, degrees): 7.369 6.056 8.842 90.00 106.00 90.00
Sites, in units of the cell vectors:
Sr 0.240 0.250 0.433
Sr 0.760 0.750 0.567
Mn 0.271 0.750 0.185
Mn 0.729 0.250 0.815
Bi 0.211 0.250 0.905
Bi 0.789 0.750 0.095
Se 0.070 0.750 0.907
Se 0.073 0.750 0.376
Se 0.467 0.514 0.744
Se 0.467 0.986 0.744
Se 0.533 0.014 0.256
Se 0.533 0.486 0.256
Se 0.927 0.250 0.624
Se 0.930 0.250 0.093

Summary:
The space group is No. 11. For the formation energy without anion corrections, the calculation gives -0.78 eV per atom. The value obtained for the density of states at the Fermi level is 0.17 states/eV per atom.

=====

Entry 6:
A plane-wave DFT calculation with PBE was carried out for a geometry-optimized MnTl4Bi3Se8 structure.

Lattice parameters (Å, degrees): 8.972 8.972 8.972 56.05 56.05 56.05
Sites, in units of the cell vectors:
Mn 0.000 0.000 0.000
Tl 0.000 0.000 0.500
Tl 0.000 0.500 0.000
Tl 0.500 0.000 0.000
Tl 0.500 0.500 0.500
Bi 0.000 0.500 0.500
Bi 0.500 0.000 0.500
Bi 0.500 0.500 0.000
Se 0.222 0.222 0.761
Se 0.222 0.761 0.222
Se 0.239 0.778 0.778
Se 0.259 0.259 0.259
Se 0.741 0.741 0.741
Se 0.761 0.222 0.222
Se 0.778 0.239 0.778
Se 0.778 0.778 0.239

Summary:
The space group is No. 166. For the formation energy without anion corrections, the calculation gives -0.42 eV per atom. The value obtained for the density of states at the Fermi level is 0.34 states/eV per atom.

=====

Entry 7:
A plane-wave DFT calculation with PBE was carried out for a geometry-optimized MnTlBi2Se structure.

Lattice parameters (Å, degrees): 5.865 5.865 4.622 90.00 90.00 90.00
Sites, in units of the cell vectors:
Mn 0.000 0.000 0.000
Tl 0.500 0.500 0.000
Bi 0.000 0.500 0.500
Bi 0.500 0.000 0.500
Se 0.000 0.000 0.500

Summary:
The space group is No. 123. For the formation energy without anion corrections, the calculation gives 0.37 eV per atom. The value obtained for the density of states at the Fermi level is 0.73 states/eV per atom.

=====

Entry 8:
A plane-wave DFT calculation with PBE was carried out for a geometry-optimized MnTl3Bi3Se8 structure.

Lattice parameters (Å, degrees): 9.141 9.141 9.141 54.15 54.15 54.15
Sites, in units of the cell vectors:
Mn 0.000 0.000 0.000
Tl 0.000 0.000 0.500
Tl 0.000 0.500 0.000
Tl 0.500 0.000 0.000
Bi 0.000 0.500 0.500
Bi 0.500 0.000 0.500
Bi 0.500 0.500 0.000
Se 0.209 0.209 0.774
Se 0.209 0.774 0.209
Se 0.226 0.791 0.791
Se 0.260 0.260 0.260
Se 0.740 0.740 0.740
Se 0.774 0.209 0.209
Se 0.791 0.226 0.791
Se 0.791 0.791 0.226

Summary:
The space group is No. 166. For the formation energy without anion corrections, the calculation gives -0.40 eV per atom. The value obtained for the density of states at the Fermi level is 0.19 states/eV per atom.

=====

Entry 9:
A plane-wave DFT calculation with PBE was carried out for a geometry-optimized MnTlBiSe4 structure.

Lattice parameters (Å, degrees): 7.103 6.831 8.652 90.00 106.66 90.00
Sites, in units of the cell vectors:
Mn 0.206 0.250 0.308
Mn 0.794 0.750 0.692
Tl 0.268 0.750 0.067
Tl 0.732 0.250 0.933
Bi 0.250 0.750 0.571
Bi 0.750 0.250 0.429
Se 0.026 0.000 0.732
Se 0.026 0.500 0.732
Se 0.411 0.250 0.568
Se 0.424 0.250 0.150
Se 0.576 0.750 0.850
Se 0.589 0.750 0.432
Se 0.974 0.000 0.268
Se 0.974 0.500 0.268

Summary:
The space group is No. 11. For the formation energy without anion corrections, the calculation gives -0.28 eV per atom. The value obtained for the density of states at the Fermi level is 0.31 states/eV per atom.

=====

Entry 10:
A plane-wave DFT calculation with PBE was carried out for a geometry-optimized MnTlBiSe3 structure.

Lattice parameters (Å, degrees): 9.113 4.290 9.718 90.00 103.52 90.00
Sites, in units of the cell vectors:
Mn 0.086 0.250 0.106
Mn 0.914 0.750 0.894
Tl 0.188 0.250 0.725
Tl 0.812 0.750 0.275
Bi 0.337 0.750 0.363
Bi 0.663 0.250 0.637
Se 0.114 0.250 0.369
Se 0.200 0.750 0.024
Se 0.440 0.750 0.660
Se 0.560 0.250 0.340
Se 0.800 0.250 0.976
Se 0.886 0.750 0.631

Summary:
The space group is No. 11. For the formation energy without anion corrections, the calculation gives -0.41 eV per atom.

=====

Entry 11:
A plane-wave DFT calculation with PBE was carried out for a geometry-optimized MnSi2Bi structure.

Lattice parameters (Å, degrees): 8.677 8.677 8.677 149.40 149.40 43.82
Sites, in units of the cell vectors:
Mn 0.000 0.000 0.000
Mn 0.750 0.250 0.500
Si 0.375 0.228 0.353
Si 0.772 0.125 0.147
Si 0.875 0.022 0.647
Si 0.978 0.625 0.853
Bi 0.250 0.750 0.500
Bi 0.500 0.500 0.000

Summary:
The space group is No. 122. For the formation energy without anion corrections, the calculation gives 0.37 eV per atom. The value obtained for the density of states at the Fermi level is 0.72 states/eV per atom.

=====

Entry 12:
A plane-wave DFT calculation with PBE was carried out for a geometry-optimized MnSiBi2 structure.

Lattice parameters (Å, degrees): 7.736 7.736 7.736 130.64 130.64 72.39
Sites, in units of the cell vectors:
Mn 0.000 0.000 0.000
Mn 0.750 0.250 0.500
Si 0.250 0.750 0.500
Si 0.500 0.500 0.000
Bi 0.131 0.625 0.006
Bi 0.375 0.381 0.506
Bi 0.619 0.125 0.994
Bi 0.875 0.869 0.494

Summary:
The space group is No. 122. For the formation energy without anion corrections, the calculation gives 0.50 eV per atom. The value obtained for the density of states at the Fermi level is 0.62 states/eV per atom.

=====

> Which formula does entry 2 have?

Mn4BiSe8

=====

> Which value of formation energy without anion corrections does entry 6 give?

-0.42 eV per atom